PrCrSO2 | Alexandria via LeMat-Bulk | GGA+U | relaxed; D(E_F) = 0.2 states/eV/f.u.; space group = No. 99; magnetic moment = 3.00 μB per cell; E = -7.453 eV/atom
1.0
-1.730 -2.650 2.356
1.003 -2.880 -2.503
4.647 -0.681 2.646
S Cr Pr O
1 1 1 2
Direct
0.000 0.000 0.450
0.000 0.000 0.012
0.500 0.500 0.673
0.500 0.000 0.933
0.000 0.500 0.933